Below is an optimized crystal structure of FeNiCO4, with properties calculated at the PBE with a Hubbard U level.

Summary:
**Energy**: -0.4623 Ry/atom
**Calculated density**: 5.31 Mg/m³

The structure in CIF format:
```
data_FeNiCO4
_chemical_formula_sum 'Fe4 Ni4 C4 O16'
_space_group_name_H-M_alt 'I m m a'
_space_group_IT_number 74
_space_group_name_Hall '-I 2b 2'
_cell_length_a 5.476
_cell_length_b 5.579
_cell_length_c 7.805
_cell_angle_alpha 90.00
_cell_angle_beta 90.00
_cell_angle_gamma 90.00
loop_
_atom_site_label
_atom_site_fract_x
_atom_site_fract_y
_atom_site_fract_z
Fe1 0.250 0.250 0.250
Ni1 0.000 0.000 0.000
C1 0.000 0.250 0.627
O1 0.000 0.042 0.730
O2 0.216 0.250 0.518
```